## GaNi2Te (PBE-GGA)

Data for a relaxed structure of GaNi2Te.

a = 4.431 Å, b = 4.431 Å, c = 4.431 Å
α = 60.00°, β = 60.00°, γ = 60.00°
Sites, in units of the cell vectors:
Te  0.500  0.500  0.500
Ni  0.250  0.250  0.250
Ni  0.750  0.750  0.750
Ga  0.000  0.000  0.000

Results
For the magnetic moment, the calculation gives 0.0 μB/cell. Its uncorrected formation energy is 1.60 kcal/mol of atoms. The calculated density comes out at 8.50 g/cm³. As for the space group: Fm-3m (225).